Record 1
Entry from Alexandria: an optimized crystal structure of LiLa (PBE-GGA).

Properties
E_tot in eV/atom: -3.16
Relative energy among the computed polymorphs in meV/atom: 206.1
E_form in kJ/mol of formula units: 50
Total magnetization in μB per cell: 0.0

Unit cell a=11.5023 b=11.5023 c=3.3375 alpha=90.00 beta=90.00 gamma=120.00
Closest atoms and distances in Å follow each position.
Atoms (fractional coordinates):
1 Li 0.7279 0.7847 0.7500  6 Li 3.31-3.34, 4 La 3.38-3.65
2 Li 0.2153 0.9432 0.7500  6 Li 3.31-3.34, 4 La 3.38-3.65
3 Li 0.0568 0.2721 0.7500  6 Li 3.31-3.34, 4 La 3.38-3.65
4 La 0.5977 0.4612 0.2500  6 La 3.26-3.45, 4 Li 3.38-3.65
5 La 0.4612 0.8635 0.7500  6 La 3.26-3.45, 4 Li 3.38-3.65
6 Li 0.7847 0.0568 0.2500  6 Li 3.31-3.34, 4 La 3.38-3.65
7 La 0.8635 0.4023 0.2500  6 La 3.26-3.45, 4 Li 3.38-3.65
8 La 0.5389 0.1365 0.2500  6 La 3.26-3.45, 4 Li 3.38-3.65
9 Li 0.9432 0.7279 0.2500  6 Li 3.31-3.34, 4 La 3.38-3.65
10 La 0.4023 0.5389 0.7500  6 La 3.26-3.45, 4 Li 3.38-3.65
11 Li 0.2721 0.2153 0.2500  6 Li 3.31-3.34, 4 La 3.38-3.65
12 La 0.1365 0.5977 0.7500  6 La 3.26-3.45, 4 Li 3.38-3.65



Record 2
Entry from Alexandria: an optimized crystal structure of LiLa (PBE-GGA).

Properties
E_tot in eV/atom: -2.48
Relative energy among the computed polymorphs in meV/atom: 884.9
E_form in kJ/mol of formula units: 181
Total magnetization in μB per cell: 0.0

Unit cell a=10.1045 b=10.1045 c=10.1045 alpha=90.00 beta=90.00 gamma=90.00
Closest atoms and distances in Å follow each position.
Atoms (fractional coordinates):
1 Li 0.1950 0.1950 0.1950  4 La 3.33
2 La 0.1146 0.1146 0.8854  3 La 3.27, 4 Li 3.33
3 La 0.6146 0.3854 0.6146  3 La 3.27, 4 Li 3.33
4 Li 0.3050 0.3050 0.6950  4 La 3.33
5 La 0.8854 0.8854 0.8854  3 La 3.27, 4 Li 3.33
6 La 0.1146 0.8854 0.1146  3 La 3.27, 4 Li 3.33
7 Li 0.3050 0.6950 0.3050  4 La 3.33
8 La 0.3854 0.6146 0.6146  3 La 3.27, 4 Li 3.33
9 Li 0.8050 0.8050 0.1950  4 La 3.33
10 Li 0.6950 0.6950 0.6950  4 La 3.33
11 Li 0.6950 0.3050 0.3050  4 La 3.33
12 Li 0.1950 0.8050 0.8050  4 La 3.33
13 La 0.8854 0.1146 0.1146  3 La 3.27, 4 Li 3.33
14 Li 0.8050 0.1950 0.8050  4 La 3.33
15 La 0.3854 0.3854 0.3854  3 La 3.27, 4 Li 3.33
16 La 0.6146 0.6146 0.3854  3 La 3.27, 4 Li 3.33



Record 3
Entry from Alexandria: an optimized crystal structure of LiLa (PBE-GGA).

Properties
E_tot in eV/atom: -3.29
Relative energy among the computed polymorphs in meV/atom: 74.2
E_form in kJ/mol of formula units: 25
Total magnetization in μB per cell: 0.0

Unit cell a=5.9978 b=5.9978 c=5.9978 alpha=33.80 beta=33.80 gamma=33.80
Closest atoms and distances in Å follow each position.
Atoms (fractional coordinates):
1 Li 0.5000 0.5000 0.5000  6 La 3.47, 6 Li 3.49
2 La 0.0000 0.0000 0.0000  6 Li 3.47, 6 La 3.49



Record 4
Entry from Alexandria: an optimized crystal structure of Li5La (PBE-GGA).

Properties
E_tot in eV/atom: -2.33
Relative energy among the computed polymorphs in meV/atom: 0.0
E_form in kJ/mol of formula units: 47
Total magnetization in μB per cell: 0.0

Unit cell a=5.7943 b=5.7943 c=5.7943 alpha=60.00 beta=60.00 gamma=60.00
Closest atoms and distances in Å follow each position.
Atoms (fractional coordinates):
1 Li 0.7500 0.7500 0.7500  12 Li 3.39, 4 La 3.55
2 Li 0.8681 0.3773 0.3773  6 Li 2.84-2.95
3 Li 0.3773 0.3773 0.8681  6 Li 2.84-2.95
4 Li 0.3773 0.3773 0.3773  6 Li 2.84-2.95
5 Li 0.3773 0.8681 0.3773  6 Li 2.84-2.95
6 La 0.0000 0.0000 0.0000  16 Li 3.40-3.55



Record 5
Entry from Alexandria: an optimized crystal structure of LiLa3 (PBE-GGA).

Properties
E_tot in eV/atom: -3.99
Relative energy among the computed polymorphs in meV/atom: 125.3
E_form in kJ/mol of formula units: 71
Total magnetization in μB per cell: 1.9

Unit cell a=6.4930 b=6.4930 c=6.4930 alpha=90.00 beta=90.00 gamma=90.00
Closest atoms and distances in Å follow each position.
Atoms (fractional coordinates):
1 La 0.5000 0.0000 0.2500  2 La 3.25, 4 Li 3.63
2 Li 0.5000 0.5000 0.5000  12 La 3.63
3 La 0.2500 0.5000 0.0000  2 La 3.25, 4 Li 3.63
4 La 0.5000 0.0000 0.7500  2 La 3.25, 4 Li 3.63
5 Li 0.0000 0.0000 0.0000  12 La 3.63
6 La 0.0000 0.7500 0.5000  2 La 3.25, 4 Li 3.63
7 La 0.0000 0.2500 0.5000  2 La 3.25, 4 Li 3.63
8 La 0.7500 0.5000 0.0000  2 La 3.25, 4 Li 3.63



Record 6
Entry from Alexandria: an optimized crystal structure of Li2La (PBE-GGA).

Properties
E_tot in eV/atom: -2.60
Relative energy among the computed polymorphs in meV/atom: 215.5
E_form in kJ/mol of formula units: 91
Total magnetization in μB per cell: 0.0

Unit cell a=5.9681 b=5.9681 c=5.9681 alpha=109.17 beta=109.17 gamma=110.08
Closest atoms and distances in Å follow each position.
Atoms (fractional coordinates):
1 Li 0.6247 0.8753 0.5000  1 Li 2.44
2 Li 0.8753 0.3753 0.2506  1 Li 2.44
3 Li 0.1247 0.6247 0.7494  1 Li 2.44
4 La 0.2500 0.2500 0.0000  8 Li 3.23, 2 La 3.42
5 Li 0.3753 0.1247 0.5000  1 Li 2.44
6 La 0.7500 0.7500 0.0000  8 Li 3.23, 2 La 3.42



Record 7
Entry from Alexandria: an optimized crystal structure of LiLa (PBE-GGA).

Properties
E_tot in eV/atom: -3.31
Relative energy among the computed polymorphs in meV/atom: 57.3
E_form in kJ/mol of formula units: 21
Total magnetization in μB per cell: 0.0

Unit cell a=3.6054 b=5.5419 c=5.8413 alpha=90.00 beta=90.00 gamma=90.00
Closest atoms and distances in Å follow each position.
Atoms (fractional coordinates):
1 Li 0.5000 0.0000 0.4926  6 La 3.38-3.49, 6 Li 3.42-3.61
2 Li 0.0000 0.5000 0.3407  6 La 3.38-3.49, 6 Li 3.42-3.61
3 La 0.5000 0.5000 0.8299  6 Li 3.38-3.49, 6 La 3.46-3.61
4 La 0.0000 0.0000 0.0034  6 Li 3.38-3.49, 6 La 3.46-3.61



Record 8
Entry from Alexandria: an optimized crystal structure of LiLa (PBE-GGA).

Properties
E_tot in eV/atom: -3.33
Relative energy among the computed polymorphs in meV/atom: 33.9
E_form in kJ/mol of formula units: 17
Total magnetization in μB per cell: 0.0

Unit cell a=10.8888 b=10.8888 c=10.8888 alpha=19.12 beta=19.12 gamma=19.12
Closest atoms and distances in Å follow each position.
Atoms (fractional coordinates):
1 La 0.9957 0.9957 0.9957  3 Li 3.49, 9 La 3.61-3.62
2 Li 0.2418 0.2418 0.2418  3 Li 2.99
3 La 0.7543 0.7543 0.7543  3 Li 3.49, 9 La 3.61-3.62
4 Li 0.5082 0.5082 0.5082  3 Li 2.99